Entry 1:
YCrSi2 | Alexandria via LeMat-Bulk | PBE | relaxed; space-group type = P4/mmm, No. 123; raw total energy = -6.996 eV per atom
1.0
-1.206 2.678 -0.986
-2.275 -0.253 2.094
1.447 3.060 6.537
Si Y Cr
2 1 1
Direct
0.000 0.065 0.935
0.000 0.435 0.565
0.500 0.250 0.250
0.500 0.750 0.750

Entry 2:
YCrSi2 | Alexandria via LeMat-Bulk | PBE | relaxed; space-group type = Fm-3m, No. 225; raw total energy = -6.722 eV per atom
1.0
-1.930 -2.657 3.328
-4.343 -1.642 -0.546
-0.697 -4.560 -0.761
Y Cr Si
1 1 2
Direct
0.500 0.500 0.500
0.000 0.000 0.000
0.250 0.250 0.250
0.750 0.750 0.750

Entry 3:
YCr2Si2 | Alexandria via LeMat-Bulk | PBE | relaxed; space-group type = I4/mmm, No. 139; raw total energy = -7.749 eV per atom
1.0
-0.822 0.927 3.646
1.617 -3.282 1.199
5.117 1.306 2.855
Cr Si Y
2 2 1
Direct
0.750 0.250 0.500
0.250 0.750 0.500
0.616 0.616 0.769
0.384 0.384 0.231
0.000 0.000 0.000

Entry 4:
YCrSi2 | Alexandria via LeMat-Bulk | PBE | relaxed; space-group type = R3m, No. 160; raw total energy = -6.320 eV per atom
1.0
-3.508 -2.507 -7.727
-5.955 -2.978 -5.829
-5.409 -0.126 -7.002
Si Cr Y
2 1 1
Direct
0.262 0.262 0.262
0.999 0.999 0.999
0.738 0.738 0.738
0.501 0.501 0.501

Entry 5:
YCrSi2 | Alexandria via LeMat-Bulk | PBE | relaxed; space-group type = Immm, No. 71; raw total energy = -6.883 eV per atom
1.0
4.649 -0.818 -0.270
0.365 4.707 0.270
-1.825 -2.824 3.325
Si Cr Y
2 1 1
Direct
0.054 0.054 0.000
0.446 0.446 0.000
0.250 0.750 0.500
0.750 0.250 0.500

Entry 6:
YCrSi2 | Alexandria via LeMat-Bulk | PBE | relaxed; space-group type = F-43m, No. 216; raw total energy = -6.515 eV per atom
1.0
4.649 0.000 0.000
2.325 4.026 0.000
2.325 1.342 3.796
Y Cr Si
1 1 2
Direct
0.750 0.750 0.750
0.500 0.500 0.500
0.000 0.000 0.000
0.250 0.250 0.250

no.,total magnetization (μB per formula unit),ΔE_f (raw) (kJ/mol of formula units),D(E_F) (states/eV per cell)
1,0.7,-101,3.05
2,3.0,5,2.83
3,1.0,-211,4.41
4,3.1,159,3.72
5,2.9,-58,2.82
6,3.0,84,1.28